The following is a PBE-GGA calculation of an optimized crystal structure of In3TeBr, from the Alexandria database.

a b c (Å): 6.3794 6.3794 6.3794
angles (deg): 90.00 90.00 90.00
Last column: nearest neighbours and their distance in Å.
Sites, in units of the cell vectors:
In: 0.5000 0.0000 0.0000  2 Te 3.19
In: 0.0000 0.0000 0.5000  2 Te 3.19
Te: 0.0000 0.0000 0.0000  6 In 3.19
In: 0.0000 0.5000 0.0000  2 Te 3.19
Br: 0.5000 0.5000 0.5000  12 In 4.51

Properties
Spin magnetization ... 0.0 μB/f.u.
ΔE_f (raw) ... 0.10 eV/atom
E above lowest polymorph ... 0.434 eV per atom
Crystal system ... cubic
Total energy ... -12.543 eV/cell